1.
Computed, not measured: a relaxed Pa3Al9Pd2 crystal at the PBE level of DFT.

Lattice parameters (Å, degrees): 4.3340 8.1476 8.1476 76.33 74.58 74.58
Last column: nearest neighbours and their distance in Å.
Element x y z (fractional)
Al: 0.1279 0.1501 0.5941  4 Al 2.66-2.73, 2 Pd 2.67
Al: 0.6587 0.7116 0.9709  1 Pd 2.54, 4 Al 2.61-2.73
Al: 0.0000 0.5000 0.5000  4 Al 2.72, 4 Pd 2.99
Al: 0.1279 0.5941 0.1501  4 Al 2.66-2.73, 2 Pd 2.67
Al: 0.3413 0.2884 0.0291  1 Pd 2.54, 4 Al 2.61-2.73
Al: 0.8721 0.4059 0.8499  4 Al 2.66-2.73, 2 Pd 2.67
Al: 0.8721 0.8499 0.4059  4 Al 2.66-2.73, 2 Pd 2.67
Al: 0.3413 0.0291 0.2884  1 Pd 2.54, 4 Al 2.61-2.73
Al: 0.6587 0.9709 0.7116  1 Pd 2.54, 4 Al 2.61-2.73
Pd: 0.5000 0.2948 0.7052  6 Al 2.54-2.67
Pd: 0.5000 0.7052 0.2948  6 Al 2.54-2.67
Pa: 0.0000 0.0000 0.0000  12 Al 3.17-3.20
Pa: 0.6920 0.3080 0.3080  2 Pd 3.10, 10 Al 3.10-3.21
Pa: 0.3080 0.6920 0.6920  2 Pd 3.10, 10 Al 3.10-3.21

## Properties
size of the total moment	0.01	μB/f.u.
ρ	7.25	g cm⁻³
ΔH_f (0 K)	-0.4179	eV/atom


2.
Computed, not measured: a relaxed PaAl10Pd2 crystal at the PBE level of DFT.

Lattice parameters (Å, degrees): 6.8545 6.8545 9.3936 90.00 90.00 97.51
Last column: nearest neighbours and their distance in Å.
Element x y z (fractional)
Al: 0.6159 0.3841 0.5667  6 Al 2.70-2.91, 2 Pd 2.72
Al: 0.3915 0.1337 0.7500  2 Pd 2.66, 8 Al 2.71-2.77
Al: 0.2142 0.2142 0.5000  2 Pd 2.60, 4 Al 2.70-2.73
Al: 0.6085 0.8663 0.2500  2 Pd 2.66, 8 Al 2.71-2.77
Al: 0.7858 0.7858 0.5000  2 Pd 2.60, 4 Al 2.70-2.73
Al: 0.8422 0.1578 0.3983  2 Pd 2.63, 6 Al 2.70-2.82
Al: 0.1578 0.8422 0.6017  2 Pd 2.63, 6 Al 2.70-2.82
Al: 0.3841 0.6159 0.0667  6 Al 2.70-2.91, 2 Pd 2.72
Al: 0.4744 0.2305 0.2500  7 Al 2.67-2.98, 2 Pd 2.85
Al: 0.3841 0.6159 0.4333  6 Al 2.70-2.91, 2 Pd 2.72
Al: 0.7858 0.7858 0.0000  2 Pd 2.60, 4 Al 2.70-2.73
Al: 0.1337 0.3915 0.2500  2 Pd 2.66, 8 Al 2.71-2.77
Al: 0.8422 0.1578 0.1017  2 Pd 2.63, 6 Al 2.70-2.82
Al: 0.6159 0.3841 0.9333  6 Al 2.70-2.91, 2 Pd 2.72
Al: 0.2305 0.4744 0.7500  7 Al 2.67-2.98, 2 Pd 2.85
Al: 0.8663 0.6085 0.7500  2 Pd 2.66, 8 Al 2.71-2.77
Al: 0.5256 0.7695 0.7500  7 Al 2.67-2.98, 2 Pd 2.85
Al: 0.2142 0.2142 0.0000  2 Pd 2.60, 4 Al 2.70-2.73
Al: 0.7695 0.5256 0.2500  7 Al 2.67-2.98, 2 Pd 2.85
Al: 0.1578 0.8422 0.8983  2 Pd 2.63, 6 Al 2.70-2.82
Pd: 0.0000 0.5000 0.5000  10 Al 2.60-2.85
Pd: 0.5000 0.0000 0.0000  10 Al 2.60-2.85
Pd: 0.5000 0.0000 0.5000  10 Al 2.60-2.85
Pd: 0.0000 0.5000 0.0000  10 Al 2.60-2.85
Pa: 0.1155 0.8845 0.2500  16 Al 3.14-3.46
Pa: 0.8845 0.1155 0.7500  16 Al 3.14-3.46

## Properties
size of the total moment	0.00	μB/f.u.
ρ	5.42	g cm⁻³
ΔH_f (0 K)	-0.3613	eV/atom


3.
Computed, not measured: a relaxed PaAl3Pd4 crystal at the PBE level of DFT.

Lattice parameters (Å, degrees): 4.3036 4.3036 8.8215 75.88 75.88 60.00
Last column: nearest neighbours and their distance in Å.
Element x y z (fractional)
Pd: 0.1334 0.1334 0.5998  7 Al 2.62-2.74
Pd: 0.8666 0.8666 0.4002  7 Al 2.62-2.74
Pd: 0.3983 0.3983 0.8051  4 Al 2.58
Pd: 0.6017 0.6017 0.1949  4 Al 2.58
Al: 0.2411 0.2411 0.2766  7 Pd 2.58-2.74
Al: 0.5000 0.5000 0.5000  8 Pd 2.58-2.62
Al: 0.7589 0.7589 0.7234  7 Pd 2.58-2.74
Pa: 0.0000 0.0000 0.0000  6 Pd 2.98

## Properties
size of the total moment	0.00	μB/f.u.
ρ	9.02	g cm⁻³
ΔH_f (0 K)	-0.7465	eV/atom


4.
Computed, not measured: a relaxed Pa2AlPd2 crystal at the PBE level of DFT.

Lattice parameters (Å, degrees): 4.5703 5.3697 5.3697 65.76 64.81 64.81
Last column: nearest neighbours and their distance in Å.
Element x y z (fractional)
Al: 0.0000 0.0000 0.0000  4 Pd 2.74
Pd: 0.5000 0.2589 0.7411  2 Al 2.74, 2 Pd 2.81-3.02, 6 Pa 2.86-3.06
Pd: 0.5000 0.7411 0.2589  2 Al 2.74, 2 Pd 2.81-3.02, 6 Pa 2.86-3.06
Pa: 0.8119 0.6881 0.6881  6 Pd 2.86-3.06, 1 Pa 2.92
Pa: 0.1881 0.3119 0.3119  6 Pd 2.86-3.06, 1 Pa 2.92

## Properties
size of the total moment	0.00	μB/f.u.
ρ	11.25	g cm⁻³
ΔH_f (0 K)	-0.4946	eV/atom


5.
Computed, not measured: a relaxed Pa3Al2Pd6 crystal at the PBE level of DFT.

Lattice parameters (Å, degrees): 8.0892 8.0892 8.0892 109.47 109.47 109.47
Last column: nearest neighbours and their distance in Å.
Element x y z (fractional)
Pd: 0.0000 0.3399 0.6601  2 Al 2.62, 4 Pd 2.70
Pd: 0.6601 0.3399 0.0000  2 Al 2.62, 4 Pd 2.70
Pd: 0.6601 0.6601 0.3202  2 Al 2.62, 4 Pd 2.70
Pd: 0.3399 0.3399 0.6798  2 Al 2.62, 4 Pd 2.70
Pd: 0.3399 0.0000 0.6601  2 Al 2.62, 4 Pd 2.70
Pd: 0.6601 0.0000 0.3399  2 Al 2.62, 4 Pd 2.70
Pd: 0.6798 0.3399 0.3399  2 Al 2.62, 4 Pd 2.70
Pd: 0.3399 0.6798 0.3399  2 Al 2.62, 4 Pd 2.70
Pd: 0.0000 0.6601 0.3399  2 Al 2.62, 4 Pd 2.70
Pd: 0.3399 0.6601 0.0000  2 Al 2.62, 4 Pd 2.70
Pd: 0.3202 0.6601 0.6601  2 Al 2.62, 4 Pd 2.70
Pd: 0.6601 0.3202 0.6601  2 Al 2.62, 4 Pd 2.70
Al: 0.0000 0.0000 0.5000  6 Pd 2.62
Al: 0.5000 0.5000 0.5000  6 Pd 2.62
Al: 0.5000 0.0000 0.0000  6 Pd 2.62
Al: 0.0000 0.5000 0.0000  6 Pd 2.62
Pa: 0.2662 0.2662 0.0000  8 Pd 3.04-3.25, 4 Al 3.31
Pa: 0.7338 0.0000 0.7338  8 Pd 3.04-3.25, 4 Al 3.31
Pa: 0.0000 0.2662 0.2662  8 Pd 3.04-3.25, 4 Al 3.31
Pa: 0.2662 0.0000 0.2662  8 Pd 3.04-3.25, 4 Al 3.31
Pa: 0.0000 0.7338 0.7338  8 Pd 3.04-3.25, 4 Al 3.31
Pa: 0.7338 0.7338 0.0000  8 Pd 3.04-3.25, 4 Al 3.31

## Properties
size of the total moment	0.01	μB/f.u.
ρ	11.29	g cm⁻³
ΔH_f (0 K)	-0.6247	eV/atom


6.
Computed, not measured: a relaxed Pa2Al3Pd4 crystal at the PBE level of DFT.

Lattice parameters (Å, degrees): 5.6932 7.3326 8.3387 90.00 109.96 90.00
Last column: nearest neighbours and their distance in Å.
Element x y z (fractional)
Pd: 0.6735 0.5241 0.3470  5 Al 2.63-2.73
Pd: 0.1735 0.9759 0.3470  5 Al 2.63-2.73
Pd: 0.8265 0.0241 0.6530  5 Al 2.63-2.73
Pd: 0.3166 0.2500 0.1332  3 Al 2.54-2.60, 2 Pd 2.85
Pd: 0.6834 0.7500 0.8668  3 Al 2.54-2.60, 2 Pd 2.85
Pd: 0.3265 0.4759 0.6530  5 Al 2.63-2.73
Pd: 0.1834 0.7500 0.8668  3 Al 2.54-2.60, 2 Pd 2.85
Pd: 0.8166 0.2500 0.1332  3 Al 2.54-2.60, 2 Pd 2.85
Pa: 0.6040 0.9045 0.2079  7 Pd 2.96-3.23, 2 Al 3.14
Pa: 0.8960 0.4045 0.7921  7 Pd 2.96-3.23, 2 Al 3.14
Pa: 0.1040 0.5955 0.2079  7 Pd 2.96-3.23, 2 Al 3.14
Pa: 0.3960 0.0955 0.7921  7 Pd 2.96-3.23, 2 Al 3.14
Al: 0.4826 0.2500 0.4652  5 Pd 2.60-2.63, 2 Al 2.85
Al: 0.0000 0.0000 0.0000  6 Pd 2.54-2.73
Al: 0.0174 0.7500 0.5348  5 Pd 2.60-2.63, 2 Al 2.85
Al: 0.5174 0.7500 0.5348  5 Pd 2.60-2.63, 2 Al 2.85
Al: 0.9826 0.2500 0.4652  5 Pd 2.60-2.63, 2 Al 2.85
Al: 0.5000 0.5000 0.0000  6 Pd 2.54-2.73

## Properties
size of the total moment	0.15	μB/f.u.
ρ	9.83	g cm⁻³
ΔH_f (0 K)	-0.6650	eV/atom